Entry 1:
Compound: Ac3Nd3MgSe8
Source: Alexandria
Functional: PBE-GGA
Structure: relaxed

Cell: 8.567 8.567 8.686 Å, 119.55 90.00 120.00°
Fractional positions:
Ac (0.000, 0.000, 0.000)
Ac (0.000, 0.500, 0.000)
Ac (0.500, 0.500, 0.000)
Nd (0.500, 0.000, 0.500)
Nd (0.500, 0.500, 0.500)
Nd (0.000, 0.500, 0.500)
Mg (0.000, 0.000, 0.500)
Se (0.255, 0.510, 0.265)
Se (0.745, 0.490, 0.735)
Se (0.765, 0.531, 0.274)
Se (0.235, 0.469, 0.726)
Se (0.765, 0.009, 0.274)
Se (0.235, 0.991, 0.726)
Se (0.243, 0.009, 0.274)
Se (0.757, 0.991, 0.726)

The formation energy (no corrections) comes out at -1797 meV per atom. The spin magnetization is 0.0 μB per formula unit. Its density of states at the Fermi level is 0.20 states/eV per atom.


Entry 2:
Compound: CeNp2CrN4
Source: Alexandria
Functional: PBE-GGA
Structure: relaxed

Cell: 3.342 5.965 11.408 Å, 90.00 90.00 106.27°
Each line ends with the local moment (μB).
Fractional positions:
Ce (0.101, 0.201, 0.750)  0.06
Ce (0.899, 0.799, 0.250)  0.06
Np (0.368, 0.736, 0.552)  2.64
Np (0.632, 0.264, 0.052)  2.64
Np (0.632, 0.264, 0.448)  2.64
Np (0.368, 0.736, 0.948)  2.64
Cr (0.840, 0.681, 0.750)  -0.89
Cr (0.160, 0.319, 0.250)  -0.89
N (0.269, 0.538, 0.121)  -0.08
N (0.731, 0.462, 0.621)  -0.08
N (0.731, 0.462, 0.879)  -0.08
N (0.269, 0.538, 0.379)  -0.08
N (0.000, 0.000, 0.500)  -0.14
N (0.000, 0.000, 0.000)  -0.14
N (0.442, 0.883, 0.750)  -0.01
N (0.558, 0.117, 0.250)  -0.01

The formation energy (no corrections) comes out at -1064 meV per atom. The spin magnetization is 4.3 μB per formula unit. Its density of states at the Fermi level is 1.44 states/eV per atom.


Entry 3:
Compound: Ga6Bi
Source: Alexandria
Functional: PBE-GGA
Structure: relaxed

Cell: 6.162 6.162 6.162 Å, 109.47 109.47 109.47°
Fractional positions:
Ga (0.250, 0.750, 0.500)
Ga (0.500, 0.750, 0.250)
Ga (0.250, 0.500, 0.750)
Ga (0.750, 0.250, 0.500)
Ga (0.500, 0.250, 0.750)
Ga (0.750, 0.500, 0.250)
Bi (0.000, 0.000, 0.000)

The spin magnetization is 0.0 μB per formula unit. The calculation puts the formation energy at 353 meV per atom. Its density of states at the Fermi level is 0.60 states/eV per atom.


Entry 4:
Compound: ScSi2Hg
Source: Alexandria
Functional: PBE-GGA
Structure: relaxed

Cell: 4.215 3.025 5.852 Å, 90.00 90.00 90.00°
Fractional positions:
Hg (0.500, 0.250, 0.250)
Sc (0.500, 0.750, 0.750)
Si (0.000, 0.250, 0.954)
Si (0.000, 0.250, 0.546)

The formation energy (no corrections) comes out at -150 meV per atom. The spin magnetization is 0.0 μB per formula unit. Its density of states at the Fermi level is 0.29 states/eV per atom.


Entry 5:
Compound: CaCeGa3
Source: Alexandria
Functional: PBE-GGA
Structure: relaxed

Cell: 4.258 4.283 13.323 Å, 99.25 90.00 90.00°
Each line ends with the local moment (μB).
Fractional positions:
Ca (0.250, 0.073, 0.146)  0.00
Ca (0.750, 0.927, 0.854)  0.00
Ce (0.250, 0.794, 0.587)  0.73
Ce (0.750, 0.206, 0.413)  0.73
Ga (0.250, 0.381, 0.763)  0.00
Ga (0.750, 0.619, 0.237)  0.00
Ga (0.250, 0.476, 0.952)  -0.01
Ga (0.750, 0.524, 0.048)  -0.01
Ga (0.750, 0.326, 0.652)  -0.02
Ga (0.250, 0.674, 0.348)  -0.02

The relative energy among the computed polymorphs is 0.34 eV per formula unit. The spin magnetization is 1.0 μB per formula unit. The calculation puts the formation energy at -471 meV per atom. Its density of states at the Fermi level is 1.34 states/eV per atom.


Entry 6:
Compound: Tl2As2Br
Source: Alexandria
Functional: PBE-GGA
Structure: relaxed

Cell: 8.574 8.574 4.357 Å, 90.00 90.00 90.00°
Fractional positions:
Tl (0.203, 0.703, 0.500)
Tl (0.703, 0.797, 0.500)
Tl (0.797, 0.297, 0.500)
Tl (0.297, 0.203, 0.500)
As (0.408, 0.908, 0.000)
As (0.908, 0.592, 0.000)
As (0.592, 0.092, 0.000)
As (0.092, 0.408, 0.000)
Br (0.000, 0.000, 0.000)
Br (0.500, 0.500, 0.000)

The formation energy (no corrections) comes out at -52 meV per atom. The relative energy among the computed polymorphs is 0.91 eV per formula unit. The spin magnetization is 0.0 μB per formula unit. Its density of states at the Fermi level is 0.67 states/eV per atom.


Entry 7:
Compound: RhIN2
Source: Alexandria
Functional: PBE-GGA
Structure: relaxed

Cell: 4.118 4.118 4.118 Å, 60.00 60.00 60.00°
Fractional positions:
I (0.500, 0.500, 0.500)
Rh (0.000, 0.000, 0.000)
N (0.250, 0.250, 0.250)
N (0.750, 0.750, 0.750)

The formation energy (no corrections) comes out at 2046 meV per atom. The relative energy among the computed polymorphs is 4.17 eV per formula unit. The spin magnetization is 0.0 μB per formula unit. Its density of states at the Fermi level is 0.66 states/eV per atom.


Entry 8:
Compound: Mg6ZnAg5
Source: Alexandria
Functional: PBE-GGA
Structure: relaxed

Cell: 4.682 6.652 7.431 Å, 90.00 107.64 90.00°
Fractional positions:
Mg (0.834, 0.751, 0.667)
Mg (0.834, 0.249, 0.667)
Mg (0.500, 0.247, 0.000)
Mg (0.500, 0.753, 0.000)
Mg (0.166, 0.751, 0.333)
Mg (0.166, 0.249, 0.333)
Zn (0.000, 0.000, 0.000)
Ag (0.665, 0.500, 0.331)
Ag (0.333, 0.000, 0.665)
Ag (0.000, 0.500, 0.000)
Ag (0.667, 0.000, 0.335)
Ag (0.335, 0.500, 0.669)

The spin magnetization is 0.0 μB per formula unit. The calculation puts the formation energy at -216 meV per atom. Its density of states at the Fermi level is 0.28 states/eV per atom.


Entry 9:
Compound: NdGdBi2
Source: Alexandria
Functional: PBE-GGA
Structure: relaxed

Cell: 4.564 4.564 7.902 Å, 73.21 73.21 60.00°
Each line ends with the local moment (μB).
Fractional positions:
Gd (0.500, 0.500, 0.500)  6.99
Nd (0.000, 0.000, 0.000)  -0.01
Bi (0.248, 0.248, 0.257)  -0.02
Bi (0.752, 0.752, 0.743)  -0.02

The relative energy among the computed polymorphs is 0.00 eV per formula unit. The spin magnetization is 7.0 μB per formula unit. The calculation puts the formation energy at -927 meV per atom. Its density of states at the Fermi level is 0.61 states/eV per atom.


Entry 10:
Compound: CdNiPt
Source: Alexandria
Functional: PBE-GGA
Structure: relaxed

Cell: 4.205 4.205 4.205 Å, 60.00 60.00 60.00°
Fractional positions:
Cd (0.500, 0.500, 0.500)
Ni (0.750, 0.750, 0.750)
Pt (0.000, 0.000, 0.000)

The relative energy among the computed polymorphs is 0.57 eV per formula unit. The spin magnetization is 0.0 μB per formula unit. The calculation puts the formation energy at 96 meV per atom. Its density of states at the Fermi level is 1.52 states/eV per atom.


Entry 11:
Compound: La2NdBr6
Source: Alexandria
Functional: PBE-GGA
Structure: relaxed

Cell: 4.149 8.311 11.001 Å, 113.38 90.00 104.45°
Fractional positions:
La (0.648, 0.296, 0.805)
La (0.352, 0.704, 0.195)
Nd (0.000, 0.000, 0.500)
Br (0.302, 0.604, 0.890)
Br (0.698, 0.396, 0.110)
Br (0.993, 0.985, 0.216)
Br (0.643, 0.287, 0.534)
Br (0.007, 0.015, 0.784)
Br (0.357, 0.713, 0.466)

The formation energy (no corrections) comes out at -1727 meV per atom. The relative energy among the computed polymorphs is 0.00 eV per formula unit. The spin magnetization is 0.0 μB per formula unit. Its density of states at the Fermi level is 0.57 states/eV per atom.


Entry 12:
Compound: KHIrAuCl
Source: Alexandria
Functional: PBE-GGA
Structure: relaxed

Cell: 3.754 3.666 16.787 Å, 90.00 90.38 90.00°
Fractional positions:
K (0.181, 0.000, 0.371)
K (0.181, 0.500, 0.871)
H (0.675, 0.000, 0.672)
H (0.675, 0.500, 0.172)
Ir (0.673, 0.000, 0.578)
Ir (0.673, 0.500, 0.078)
Au (0.172, 0.000, 0.055)
Au (0.172, 0.500, 0.555)
Cl (0.679, 0.000, 0.792)
Cl (0.679, 0.500, 0.292)

The relative energy among the computed polymorphs is 0.88 eV per formula unit. The spin magnetization is 0.0 μB per formula unit. Its density of states at the Fermi level is 0.33 states/eV per atom.